This record from Alexandria via LeMat-Bulk describes a relaxed AcPa2MoN5 crystal. The functional is PBE-GGA.

The value obtained for the formation energy without anion corrections is -1232 meV per atom.

```
AcPa2MoN5
1.0
-0.291 3.177 -5.909
-3.805 -4.950 -2.473
-2.750 3.701 5.941
Ac Pa Mo N
2 4 2 10
Cartesian
-2.399 1.407 0.875
-4.447 0.521 -3.316
-1.281 -1.036 -1.845
-0.871 1.275 -4.438
-3.226 -3.047 -3.944
-2.816 -0.736 -6.538
-4.302 -1.068 -0.362
-2.545 2.996 -2.080
-2.847 1.705 -5.442
-3.075 3.927 -0.420
-4.000 0.223 3.000
-2.156 3.343 3.037
-4.918 0.807 -0.457
-4.690 -1.415 -5.478
-1.928 1.122 -1.985
-3.772 -1.998 -2.021
-2.048 -0.886 -4.191
0.000 0.000 0.000
```


This record from Alexandria via LeMat-Bulk describes a relaxed CaYCu2 crystal. The functional is PBE-GGA.

The value obtained for the energy of formation is -22 meV/atom.

```
CaYCu2
1.0
6.048 0.024 -0.020
3.177 5.147 0.020
-4.157 -3.397 2.785
Y Ca Cu
1 1 2
Cartesian
4.400 2.466 0.000
3.409 -0.306 1.382
0.380 0.213 0.000
1.491 1.986 1.402
```


This record from Alexandria via LeMat-Bulk describes a relaxed NdY6Tm crystal. The functional is PBE-GGA.

Its offset from the most stable computed form is 51 meV per atom. The value obtained for the energy of formation is 203 meV/atom.

```
NdY6Tm
1.0
6.342 -0.195 2.430
-0.073 6.528 0.813
1.092 0.732 6.878
Nd Y Tm
1 6 1
Cartesian
0.000 0.000 0.000
1.059 5.336 4.195
4.132 5.029 5.593
3.228 2.037 4.528
6.302 1.729 5.926
3.410 4.770 1.960
3.950 2.295 8.161
-0.037 3.264 0.407
```


This record from Alexandria via LeMat-Bulk describes a relaxed Cd2In2H crystal. The functional is PBE-GGA.

Its offset from the most stable computed form is 0 meV per atom.

```
Cd2In2H
1.0
-2.164 1.955 -5.527
1.229 -5.609 -2.465
-5.170 -1.751 1.405
H Cd In
2 4 4
Cartesian
0.000 0.000 0.000
-0.467 -1.827 -3.996
-2.137 -4.333 -1.958
-3.044 -4.156 -5.073
-3.967 -1.072 -4.629
-3.061 -1.249 -1.514
0.312 -3.989 -3.822
-0.952 -2.181 -6.221
-1.247 0.334 -4.170
0.018 -1.473 -1.771
```


This record from Alexandria via LeMat-Bulk describes a relaxed La2NdAg6 crystal. The functional is PBE-GGA.

The value obtained for the energy of formation is -274 meV/atom.

```
La2NdAg6
1.0
3.668 0.000 0.000
0.000 7.250 -4.186
0.000 0.000 8.371
La Nd Ag
2 1 6
Cartesian
0.000 2.417 4.186
3.668 4.833 0.000
0.000 0.000 8.371
1.834 2.409 1.391
1.834 4.841 2.795
1.834 0.000 5.590
1.834 4.841 5.576
1.834 2.409 -1.391
1.834 7.250 -1.404
```


This record from Alexandria via LeMat-Bulk describes a relaxed Pu4Ir2Pd crystal. The functional is PBE-GGA.

The value obtained for the energy of formation is -422 meV/atom.

```
Pu4Ir2Pd
1.0
6.988 0.000 -2.502
-3.481 6.076 -2.460
-0.027 0.000 7.422
Pu Ir Pd
8 4 2
Cartesian
-2.184 5.454 0.292
1.677 4.577 0.424
4.791 3.660 1.502
0.946 1.539 5.151
1.691 4.537 -3.287
4.440 1.499 3.900
3.027 0.622 0.304
-0.466 2.416 1.555
5.697 0.705 1.170
2.203 2.333 2.421
-0.476 5.371 2.520
-0.463 3.743 -1.191
0.000 0.000 0.000
3.494 3.038 -1.251
```


no.,N(E_F) (states/eV/atom)
1,0.696
2,0.839
3,1.840
4,0.382
5,0.925
6,4.005